(1)
## Pu4PSe2O (GGA-PBE)

Data for an optimized crystal structure of Pu4PSe2O.

The structure in POSCAR format:
```
Pu4PSe2O
1.0
6.8054 0.0000 0.0000
0.0000 3.9088 0.0000
-2.3392 0.0000 6.5758
Pu P Se O
4 1 2 1
direct
0.2205 0.0000 0.2099
0.2465 0.5000 0.7705
0.7535 0.5000 0.2295
0.7795 0.0000 0.7901
0.5000 0.0000 0.0000
0.0000 0.0000 0.5000
0.5000 0.5000 0.5000
0.0000 0.5000 0.0000
```

Calculated values
The crystal system is monoclinic. Its total energy is -10.90 eV/atom. For the formation energy from raw total energies, the calculation gives -1563 meV/atom.

***

(2)
## BaTl2Hg8 (GGA-PBE)

Data for an optimized crystal structure of BaTl2Hg8.

The structure in POSCAR format:
```
BaTl2Hg8
1.0
4.2558 -8.4354 0.0000
4.2558 8.4354 0.0000
-3.7705 0.0000 4.5267
Ba Tl Hg
1 2 8
direct
0.0000 0.0000 0.0000
0.3157 0.6843 0.5000
0.6843 0.3157 0.5000
0.0959 0.3600 0.7417
0.2094 0.7906 0.0000
0.3600 0.0959 0.7417
0.4935 0.4935 0.7438
0.5065 0.5065 0.2562
0.6400 0.9041 0.2583
0.7906 0.2094 0.0000
0.9041 0.6400 0.2583
```

Calculated values
Its formation energy is -0.15 eV/atom. The crystal system is monoclinic. Its total energy is -0.97 eV/atom.

***

(3)
## Na3SeF8 (GGA-PBE)

Data for an optimized crystal structure of Na3SeF8.

The structure in POSCAR format:
```
Na3SeF8
1.0
5.3164 0.0000 0.0000
0.0000 5.3164 0.0000
0.0000 0.0000 5.3164
Na Se F
3 1 8
direct
0.0000 0.0000 0.5000
0.0000 0.5000 0.0000
0.5000 0.0000 0.0000
0.5000 0.5000 0.5000
0.2762 0.2762 0.2762
0.2762 0.2762 0.7238
0.2762 0.7238 0.2762
0.2762 0.7238 0.7238
0.7238 0.2762 0.2762
0.7238 0.2762 0.7238
0.7238 0.7238 0.2762
0.7238 0.7238 0.7238
```

Calculated values
The crystal system is cubic. Its total energy is -3.86 eV/atom. For the formation energy from raw total energies, the calculation gives -1997 meV/atom.

***

(4)
## Ac5PmTl3 (GGA-PBE)

Data for an optimized crystal structure of Ac5PmTl3.

The structure in POSCAR format:
```
Ac5PmTl3
1.0
10.1656 0.0000 0.0000
-5.0828 8.8037 0.0000
0.0000 0.0000 7.3963
Ac Pm Tl
10 2 6
direct
0.0000 0.3226 0.2500
0.0000 0.6774 0.7500
0.3226 0.0000 0.2500
0.3226 0.3226 0.7500
0.3333 0.6667 0.0000
0.3333 0.6667 0.5000
0.6667 0.3333 0.0000
0.6667 0.3333 0.5000
0.6774 0.0000 0.7500
0.6774 0.6774 0.2500
0.0000 0.0000 0.0000
0.0000 0.0000 0.5000
0.0000 0.3393 0.7500
0.0000 0.6607 0.2500
0.3393 0.0000 0.7500
0.3393 0.3393 0.2500
0.6607 0.0000 0.2500
0.6607 0.6607 0.7500
```

Calculated values
Its formation energy is -0.20 eV/atom. The crystal system is hexagonal. Its total energy is -3.80 eV/atom.

***

(5)
## BaCoTe2 (GGA-PBE)

Data for an optimized crystal structure of BaCoTe2.

The structure in POSCAR format:
```
BaCoTe2
1.0
2.0970 -3.9464 0.0000
2.0970 3.9464 0.0000
0.0000 0.0000 8.1591
Ba Co Te
1 1 2
direct
0.0000 0.0000 0.0000
0.0000 0.0000 0.5000
0.5000 0.5000 0.3094
0.5000 0.5000 0.6906
```

Calculated values
The crystal system is orthorhombic. Its total energy is -4.12 eV/atom. For the formation energy from raw total energies, the calculation gives -293 meV/atom.

***

(6)
## Li4PmPt (GGA-PBE)

Data for an optimized crystal structure of Li4PmPt.

The structure in POSCAR format:
```
Li4PmPt
1.0
0.0000 3.7079 3.7079
3.7079 0.0000 3.7079
3.7079 3.7079 0.0000
Li Pm Pt
4 1 1
direct
0.3785 0.3785 0.3785
0.3785 0.3785 0.8646
0.3785 0.8646 0.3785
0.8646 0.3785 0.3785
0.0000 0.0000 0.0000
0.7500 0.7500 0.7500
```

Calculated values
Its formation energy is -0.21 eV/atom. The crystal system is cubic. Its total energy is -3.29 eV/atom.

***

(7)
## MgTcNiIr (GGA-PBE)

Data for an optimized crystal structure of MgTcNiIr.

The structure in POSCAR format:
```
MgTcNiIr
1.0
0.0000 3.0529 3.0529
3.0529 0.0000 3.0529
3.0529 3.0529 0.0000
Mg Tc Ni Ir
1 1 1 1
direct
0.0000 0.0000 0.0000
0.5000 0.5000 0.5000
0.7500 0.7500 0.7500
0.2500 0.2500 0.2500
```

Calculated values
Its formation energy is 0.03 eV/atom. The crystal system is cubic. Its total energy is -6.62 eV/atom.

***

(8)
## Nd4TmSc3Se8 (GGA-PBE)

Data for an optimized crystal structure of Nd4TmSc3Se8.

The structure in POSCAR format:
```
Nd4TmSc3Se8
1.0
4.0101 2.3152 6.8617
-4.0101 2.3152 6.8617
0.0000 -4.6305 6.8617
Nd Tm Sc Se
4 1 3 8
direct
0.0000 0.0000 0.0000
0.0000 0.5000 0.5000
0.5000 0.0000 0.5000
0.5000 0.5000 0.0000
0.5000 0.5000 0.5000
0.0000 0.0000 0.5000
0.0000 0.5000 0.0000
0.5000 0.0000 0.0000
0.2361 0.7435 0.7435
0.2400 0.2400 0.2400
0.2565 0.2565 0.7639
0.2565 0.7639 0.2565
0.7435 0.2361 0.7435
0.7435 0.7435 0.2361
0.7600 0.7600 0.7600
0.7639 0.2565 0.2565
```

Calculated values
The crystal system is trigonal. Its total energy is -6.12 eV/atom. For the formation energy from raw total energies, the calculation gives -1714 meV/atom.